Here is a geometry-optimized NbPt7Rh4 structure from the Alexandria database. Energies are from GGA-PBE.

Unit cell a=4.837 b=5.568 c=7.364 alpha=100.92 beta=109.09 gamma=90.10
Space group P-1 (No. 2)
One atom of each set of equivalent atoms:
1 Nb 0.000 0.000 0.000 x1
2 Pt 0.000 0.500 0.000 x1
3 Pt 0.163 0.918 0.665 x2
4 Pt 0.327 0.333 0.329 x2
5 Pt 0.499 0.750 0.000 x2
6 Rh 0.166 0.414 0.663 x2
7 Rh 0.336 0.833 0.330 x2

Here is a geometry-optimized Mn2AlTl structure from the Alexandria database. Energies are from GGA-PBE.

Offset from the most stable computed form (eV/f.u.): 0.691

Unit cell a=4.612 b=3.135 c=4.972 alpha=90.00 beta=106.42 gamma=90.00
Space group P2/m (No. 10)
One atom of each set of equivalent atoms:
1 Mn 0.000 0.000 0.000 x1
2 Mn 0.000 0.500 0.500 x1
3 Al 0.500 0.000 0.500 x1
4 Tl 0.500 0.500 0.000 x1

Taking the records one at a time from the top gives energy of formation values of -0.2403 0.3897 eV per atom.